This record from Alexandria describes a relaxed structure of Tl2CdRh2. The functional is PBE-GGA.

a = 3.662 Å, b = 3.662 Å, c = 17.420 Å
α = 90.00°, β = 90.00°, γ = 90.00°
Space group I4/mmm (No. 139)
Symmetry-distinct sites (fractional):
Tl  0.000  0.000  0.120 x4
Cd  0.000  0.000  0.500 x2
Rh  0.000  0.500  0.250 x4

Values from the calculation:
The uncorrected energy comes out at -37.7 eV for the cell shown. The calculation puts the distance to the lowest polymorph of the same formula at 284 meV per atom. For the magnetization, the calculation gives 0.7 μB/f.u.